[1]
This record from the Open Quantum Materials Database describes a relaxed structure of TbInPd. The functional is PBE-GGA.

```
data_TbInPd
_cell_length_a 8.2439
_cell_length_b 8.2439
_cell_length_c 3.3399
_cell_angle_alpha 90.00
_cell_angle_beta 90.00
_cell_angle_gamma 120.00
_symmetry_space_group_name_H-M 'P 1'
_symmetry_Int_Tables_number 1
loop_
_symmetry_equiv_pos_as_xyz
'x,y,z'
loop_
_atom_site_label
_atom_site_fract_x
_atom_site_fract_y
_atom_site_fract_z
Pd1 0.3677 0.3677 0.5000
Tb1 0.0000 0.2976 0.0000
Tb2 0.7024 0.7024 0.0000
Tb3 0.2976 0.0000 0.0000
In1 0.0000 0.0000 0.5000
In2 0.6667 0.3333 0.0000
Pd2 0.6323 0.0000 0.5000
Pd3 0.0000 0.6323 0.5000
In3 0.3333 0.6667 0.0000
```

Results
Space group = No. 189
Crystal system = hexagonal
ρ = 9.634 g/cm³
Volume = 21.8 Å³/atom

[2]
This record from the Open Quantum Materials Database describes a relaxed structure of BaDyBe. The functional is PBE-GGA.

```
data_BaDyBe
_cell_length_a 5.1877
_cell_length_b 5.1877
_cell_length_c 5.1877
_cell_angle_alpha 60.00
_cell_angle_beta 60.00
_cell_angle_gamma 60.00
_symmetry_space_group_name_H-M 'P 1'
_symmetry_Int_Tables_number 1
loop_
_symmetry_equiv_pos_as_xyz
'x,y,z'
loop_
_atom_site_label
_atom_site_fract_x
_atom_site_fract_y
_atom_site_fract_z
Dy1 0.7500 0.7500 0.7500
Be1 0.0000 0.0000 0.0000
Ba1 0.2500 0.2500 0.2500
```

Results
Space group = No. 216
Crystal system = cubic
ρ = 5.195 g/cm³
Volume = 32.9 Å³/atom

[3]
This record from the Open Quantum Materials Database describes a relaxed structure of Hf4CoP2Pd. The functional is PBE-GGA.

```
data_Hf4CoP2Pd
_cell_length_a 5.2383
_cell_length_b 3.6398
_cell_length_c 7.5383
_cell_angle_alpha 90.00
_cell_angle_beta 109.75
_cell_angle_gamma 90.00
_symmetry_space_group_name_H-M 'P 1'
_symmetry_Int_Tables_number 1
loop_
_symmetry_equiv_pos_as_xyz
'x,y,z'
loop_
_atom_site_label
_atom_site_fract_x
_atom_site_fract_y
_atom_site_fract_z
Hf1 0.2214 0.5000 0.9426
P1 0.1399 0.5000 0.2899
P2 0.8807 0.0000 0.6995
Hf2 0.7107 0.5000 0.4178
Co1 0.3555 0.0000 0.2059
Pd1 0.6352 0.5000 0.7940
Hf3 0.7777 0.0000 0.0876
Hf4 0.2790 0.0000 0.5628
```

Results
Space group = No. 6
Crystal system = monoclinic
ρ = 11.555 g/cm³
Volume = 16.9 Å³/atom

[4]
This record from the Open Quantum Materials Database describes a relaxed structure of GdPbO3. The functional is PBE-GGA.

```
data_GdPbO3
_cell_length_a 6.0527
_cell_length_b 6.0527
_cell_length_c 6.0527
_cell_angle_alpha 59.89
_cell_angle_beta 59.89
_cell_angle_gamma 59.89
_symmetry_space_group_name_H-M 'P 1'
_symmetry_Int_Tables_number 1
loop_
_symmetry_equiv_pos_as_xyz
'x,y,z'
loop_
_atom_site_label
_atom_site_fract_x
_atom_site_fract_y
_atom_site_fract_z
Gd1 0.5000 0.5000 0.5000
Pb1 0.2500 0.2500 0.2500
Gd2 0.0000 0.0000 0.0000
O1 0.2500 0.6182 0.8818
Pb2 0.7500 0.7500 0.7500
O2 0.7500 0.3818 0.1182
O3 0.6182 0.8818 0.2500
O4 0.1182 0.7500 0.3818
O5 0.3818 0.1182 0.7500
O6 0.8818 0.2500 0.6182
```

Results
Space group = No. 167
Crystal system = trigonal
ρ = 8.758 g/cm³
Volume = 15.6 Å³/atom

What total DFT energy (no corrections) values result from the calculations? In sequence: -4.54; -2.81; -8.79; -6.69 eV/atom.